{
  "formula": "ScAl2Pd",
  "functional": "PBE-GGA",
  "state": "optimized geometry",
  "lattice_angstrom": [[-5.227, -0.956, 0.319], [1.133, -4.557, 4.910], [-1.392, 11.189, 10.705]],
  "species": ["Sc", "Sc", "Sc", "Sc", "Sc", "Sc", "Sc", "Sc", "Al", "Al", "Al", "Al", "Al", "Al", "Al", "Al", "Al", "Al", "Al", "Al", "Al", "Al", "Al", "Al", "Pd", "Pd", "Pd", "Pd", "Pd", "Pd", "Pd", "Pd"],
  "frac_coords": [[0.467, 0.250, 0.144], [0.967, 0.750, 0.356], [0.533, 0.750, 0.856], [0.033, 0.250, 0.644], [0.726, 0.250, 0.392], [0.226, 0.750, 0.108], [0.274, 0.750, 0.608], [0.774, 0.250, 0.892], [0.954, 0.052, 0.215], [0.454, 0.948, 0.285], [0.046, 0.552, 0.785], [0.546, 0.448, 0.715], [0.046, 0.948, 0.785], [0.546, 0.052, 0.715], [0.954, 0.448, 0.215], [0.454, 0.552, 0.285], [0.733, 0.550, 0.032], [0.233, 0.450, 0.468], [0.267, 0.050, 0.968], [0.767, 0.950, 0.532], [0.267, 0.450, 0.968], [0.767, 0.550, 0.532], [0.733, 0.950, 0.032], [0.233, 0.050, 0.468], [0.207, 0.250, 0.327], [0.707, 0.750, 0.173], [0.793, 0.750, 0.673], [0.293, 0.250, 0.827], [0.990, 0.250, 0.073], [0.490, 0.750, 0.427], [0.010, 0.750, 0.927], [0.510, 0.250, 0.573]],
  "total_energy_ev_per_atom": -5.500,
  "sg": "Pnma, No. 62"
}


{
  "formula": "Sc2AlPd2",
  "functional": "PBE-GGA",
  "state": "optimized geometry",
  "lattice_angstrom": [[-2.084, -1.003, 3.034], [0.548, -3.681, -0.840], [4.966, -2.384, 5.022]],
  "species": ["Sc", "Sc", "Al", "Pd", "Pd"],
  "frac_coords": [[0.388, 0.388, 0.223], [0.612, 0.612, 0.777], [0.000, 0.000, 0.000], [0.750, 0.250, 0.500], [0.250, 0.750, 0.500]],
  "total_energy_ev_per_atom": -5.748,
  "sg": "I4/mmm, No. 139"
}


{
  "formula": "Sc2AlPd8",
  "functional": "PBE-GGA",
  "state": "optimized geometry",
  "lattice_angstrom": [[4.478, 0.000, 0.000], [0.000, 5.865, -0.182], [-2.239, -2.713, 6.955]],
  "species": ["Sc", "Sc", "Al", "Pd", "Pd", "Pd", "Pd", "Pd", "Pd", "Pd", "Pd"],
  "frac_coords": [[0.809, 0.310, 0.619], [0.191, 0.690, 0.381], [0.500, 0.000, 0.000], [0.363, 0.600, 0.727], [0.637, 0.875, 0.274], [0.820, 0.820, 0.640], [0.000, 0.255, 0.000], [0.180, 0.180, 0.360], [0.363, 0.125, 0.726], [0.637, 0.400, 0.273], [0.000, 0.745, 0.000]],
  "total_energy_ev_per_atom": -5.985,
  "sg": "C2/m, No. 12"
}


{
  "formula": "Sc4AlPd3",
  "functional": "PBE-GGA",
  "state": "optimized geometry",
  "lattice_angstrom": [[3.291, 0.000, 0.000], [0.000, 3.291, 0.000], [0.000, 0.000, 13.644]],
  "species": ["Sc", "Sc", "Sc", "Sc", "Al", "Pd", "Pd", "Pd"],
  "frac_coords": [[0.000, 0.000, 0.868], [0.000, 0.000, 0.132], [0.000, 0.000, 0.377], [0.000, 0.000, 0.623], [0.500, 0.500, 0.000], [0.500, 0.500, 0.251], [0.500, 0.500, 0.500], [0.500, 0.500, 0.749]],
  "total_energy_ev_per_atom": -6.370,
  "sg": "P4/mmm, No. 123"
}


{
  "formula": "ScAl2Pd3",
  "functional": "PBE-GGA",
  "state": "optimized geometry",
  "lattice_angstrom": [[-2.342, 0.085, 3.396], [-3.735, -3.210, -2.495], [4.111, -2.284, 2.892]],
  "species": ["Sc", "Al", "Al", "Pd", "Pd", "Pd"],
  "frac_coords": [[0.000, 0.000, 0.000], [0.500, 0.333, 0.667], [0.500, 0.667, 0.333], [0.000, 0.500, 0.000], [0.000, 0.500, 0.500], [0.000, 0.000, 0.500]],
  "polymorph_energy_mev_per_atom": 164.9,
  "total_energy_ev_per_atom": -5.614,
  "sg": "P6/mmm, No. 191"
}


{
  "formula": "Sc5AlPd",
  "functional": "PBE-GGA",
  "state": "optimized geometry",
  "lattice_angstrom": [[5.683, -1.037, -0.734], [0.820, 5.718, -0.734], [1.789, 1.288, 9.024]],
  "species": ["Sc", "Sc", "Sc", "Sc", "Sc", "Sc", "Sc", "Sc", "Sc", "Sc", "Al", "Al", "Pd", "Pd"],
  "frac_coords": [[0.057, 0.613, 0.161], [0.235, 0.420, 0.507], [0.613, 0.057, 0.661], [0.861, 0.139, 0.250], [0.580, 0.765, 0.993], [0.420, 0.235, 0.007], [0.139, 0.861, 0.750], [0.387, 0.943, 0.339], [0.765, 0.580, 0.493], [0.943, 0.387, 0.839], [0.520, 0.480, 0.250], [0.480, 0.520, 0.750], [0.000, 0.000, 0.000], [0.000, 0.000, 0.500]],
  "total_energy_ev_per_atom": -6.049,
  "sg": "C2/c, No. 15"
}


{
  "formula": "Sc7Al2Pd2",
  "functional": "PBE-GGA",
  "state": "optimized geometry",
  "lattice_angstrom": [[6.278, -0.002, -0.766], [0.003, 6.622, 0.003], [-1.155, -0.002, 6.218]],
  "species": ["Sc", "Sc", "Sc", "Sc", "Sc", "Sc", "Sc", "Al", "Al", "Pd", "Pd"],
  "frac_coords": [[0.000, 0.267, 0.500], [0.500, 0.733, 0.000], [0.000, 0.733, 0.500], [0.500, 0.267, 0.000], [0.000, 0.000, 0.000], [0.500, 0.740, 0.500], [0.500, 0.260, 0.500], [0.827, 0.500, 0.827], [0.173, 0.500, 0.173], [0.711, 0.000, 0.289], [0.289, 0.000, 0.711]],
  "total_energy_ev_per_atom": -5.908,
  "sg": "Cmmm, No. 65"
}


{
  "formula": "Sc2Al3Pd4",
  "functional": "PBE-GGA",
  "state": "optimized geometry",
  "lattice_angstrom": [[4.556, -0.025, 0.302], [2.266, 3.939, 0.452], [0.590, 0.019, 8.379]],
  "species": ["Sc", "Sc", "Al", "Al", "Al", "Pd", "Pd", "Pd", "Pd"],
  "frac_coords": [[0.368, 0.369, 0.773], [0.632, 0.631, 0.227], [0.270, 0.270, 0.409], [0.000, 0.000, 0.000], [0.730, 0.730, 0.591], [0.687, 0.688, 0.899], [0.950, 0.950, 0.335], [0.050, 0.050, 0.665], [0.313, 0.312, 0.101]],
  "polymorph_energy_mev_per_atom": 21.6,
  "total_energy_ev_per_atom": -5.816,
  "sg": "C2/m, No. 12"
}